1.
# SbPCl2

A geometry-optimized SbPCl2 structure (GGA-PBE, the Alexandria database).

energy relative to the lowest polymorph listed for this composition = 630 meV/atom
total magnetization = 0.00 Bohr magnetons per cell

Lattice parameters (Å, degrees): 3.2741 5.6012 9.1646 90.00 90.00 90.00
Last column: nearest neighbours and their distance in Å.
Space group Immm (No. 71)
Asymmetric unit:
Sb: 0.0000 0.0000 0.0000 (multiplicity 2)  4 Cl 2.90, 4 P 3.24
P: 0.0000 0.0000 0.5000 (multiplicity 2)  4 Cl 2.74
Cl: 0.0000 0.5000 0.2393 (multiplicity 4)  2 P 2.74, 2 Sb 2.90

=====

2.
# Sb2PCl

A geometry-optimized Sb2PCl structure (GGA-PBE, the Alexandria database).

energy relative to the lowest polymorph listed for this composition = 410 meV/atom
total magnetization = 0.00 Bohr magnetons per cell

Lattice parameters (Å, degrees): 3.7336 4.2723 5.8671 90.00 90.00 90.00
Last column: nearest neighbours and their distance in Å.
Space group Pmmm (No. 47)
Asymmetric unit:
Sb: 0.0000 0.0000 0.0000 (multiplicity 1)  4 Cl 2.84
Sb: 0.5000 0.0000 0.5000 (multiplicity 1)  4 P 2.84
P: 0.0000 0.5000 0.5000 (multiplicity 1)  4 Sb 2.84
Cl: 0.5000 0.5000 0.0000 (multiplicity 1)  4 Sb 2.84

=====

3.
# Sb2PCl

A geometry-optimized Sb2PCl structure (GGA-PBE, the Alexandria database).

energy relative to the lowest polymorph listed for this composition = 345 meV/atom
total magnetization = 0.00 Bohr magnetons per cell

Lattice parameters (Å, degrees): 3.5165 5.9699 10.4706 90.00 90.00 90.00
Last column: nearest neighbours and their distance in Å.
Space group Cmm2 (No. 35)
Asymmetric unit:
Sb: 0.0000 0.0000 0.0000 (multiplicity 2)  2 Cl 2.72
Sb: 0.0000 0.5000 0.3076 (multiplicity 2)  2 P 2.52
P: 0.0000 0.0000 0.4793 (multiplicity 2)  2 Sb 2.52
Cl: 0.0000 0.5000 0.8013 (multiplicity 2)  2 Sb 2.72